# 1
DFT (PBE) results for HfCuTc3 after structural relaxation.

Summary:
- Spin magnetization: 0.000 μB/cell
- Space-group type: Pm-3m
- Excess energy over the best structure of this formula in the dataset: 0.000 eV/atom
- DOS(E_F): 1.81 states/eV/atom
- Formation energy: 1.19 eV/atom

Cell lengths 4.465, 4.465, 4.465 Å; angles 90.00, 90.00, 90.00 degrees
Element x y z (fractional)
Tc (0.500, 0.000, 0.000)
Hf (0.500, 0.500, 0.500)
Cu (0.000, 0.000, 0.000)
Tc (0.000, 0.000, 0.500)
Tc (0.000, 0.500, 0.000)

***

# 2
DFT (PBE) results for Hf4CuTc3 after structural relaxation.

Summary:
- Spin magnetization: 0.000 μB/cell
- Space-group type: P4/mmm
- DOS(E_F): 0.78 states/eV/atom
- Formation energy: -0.44 eV/atom

Cell lengths 3.289, 3.289, 12.894 Å; angles 90.00, 90.00, 90.00 degrees
Element x y z (fractional)
Cu (0.500, 0.500, 0.000)
Hf (0.000, 0.000, 0.129)
Hf (0.000, 0.000, 0.871)
Hf (0.000, 0.000, 0.625)
Tc (0.500, 0.500, 0.243)
Tc (0.500, 0.500, 0.500)
Hf (0.000, 0.000, 0.375)
Tc (0.500, 0.500, 0.757)

***

# 3
DFT (PBE) results for Hf5Cu4Tc after structural relaxation.

Summary:
- Spin magnetization: 1.646 μB/cell
- Space-group type: P4/mmm
- DOS(E_F): 1.06 states/eV/atom
- Formation energy: -0.21 eV/atom

Cell lengths 3.265, 3.265, 16.118 Å; angles 90.00, 90.00, 90.00 degrees
Element x y z (fractional)
Tc (0.000, 0.000, 0.000)
Hf (0.500, 0.500, 0.097)
Hf (0.500, 0.500, 0.903)
Cu (0.000, 0.000, 0.200)
Hf (0.500, 0.500, 0.500)
Cu (0.000, 0.000, 0.402)
Hf (0.500, 0.500, 0.700)
Hf (0.500, 0.500, 0.300)
Cu (0.000, 0.000, 0.800)
Cu (0.000, 0.000, 0.598)

***

# 4
DFT (PBE) results for Hf4CuTc after structural relaxation.

Summary:
- Spin magnetization: 0.000 μB/cell
- Space-group type: P4/mmm
- DOS(E_F): 1.08 states/eV/atom
- Formation energy: -0.21 eV/atom

Cell lengths 3.249, 3.249, 10.773 Å; angles 90.00, 90.00, 90.00 degrees
Element x y z (fractional)
Cu (0.500, 0.500, 0.500)
Hf (0.500, 0.500, 0.852)
Hf (0.500, 0.500, 0.148)
Hf (0.000, 0.000, 0.658)
Hf (0.000, 0.000, 0.342)
Tc (0.000, 0.000, 0.000)

***

# 5
DFT (PBE) results for Hf4Cu3Tc after structural relaxation.

Summary:
- Spin magnetization: 0.000 μB/cell
- Space-group type: R-3m
- DOS(E_F): 0.87 states/eV/atom
- Formation energy: -0.24 eV/atom

Cell lengths 4.594, 4.594, 7.962 Å; angles 73.23, 73.23, 60.00 degrees
Element x y z (fractional)
Cu (0.751, 0.751, 0.747)
Hf (0.626, 0.626, 0.122)
Cu (0.249, 0.249, 0.253)
Tc (0.000, 0.000, 0.000)
Hf (0.124, 0.124, 0.628)
Hf (0.876, 0.876, 0.372)
Cu (0.500, 0.500, 0.500)
Hf (0.374, 0.374, 0.878)

***

# 6
DFT (PBE) results for Hf3CuTc after structural relaxation.

Summary:
- Spin magnetization: 0.000 μB/cell
- Space-group type: Pm-3m
- Excess energy over the best structure of this formula in the dataset: 0.000 eV/atom
- DOS(E_F): 1.31 states/eV/atom
- Formation energy: 0.71 eV/atom

Cell lengths 4.961, 4.961, 4.961 Å; angles 90.00, 90.00, 90.00 degrees
Element x y z (fractional)
Hf (0.000, 0.500, 0.000)
Tc (0.000, 0.000, 0.000)
Cu (0.500, 0.500, 0.500)
Hf (0.500, 0.000, 0.000)
Hf (0.000, 0.000, 0.500)

***

# 7
DFT (PBE) results for HfCu2Tc after structural relaxation.

Summary:
- Spin magnetization: 0.000 μB/cell
- Space-group type: P4/mmm
- Excess energy over the best structure of this formula in the dataset: 0.000 eV/atom
- DOS(E_F): 0.66 states/eV/atom
- Formation energy: -0.10 eV/atom

Cell lengths 3.958, 3.865, 3.865 Å; angles 90.00, 90.00, 90.00 degrees
Element x y z (fractional)
Tc (0.500, 0.500, 0.500)
Cu (0.000, 0.500, 0.000)
Hf (0.500, 0.000, 0.000)
Cu (0.000, 0.000, 0.500)

***

# 8
DFT (PBE) results for Hf6CuTc after structural relaxation.

Summary:
- Spin magnetization: 0.000 μB/cell
- Space-group type: Fmmm
- DOS(E_F): 0.83 states/eV/atom
- Formation energy: -0.17 eV/atom

Cell lengths 4.574, 4.574, 8.203 Å; angles 73.77, 73.77, 89.93 degrees
Element x y z (fractional)
Cu (0.000, 0.000, 0.000)
Hf (0.391, 0.891, 0.218)
Hf (0.609, 0.109, 0.782)
Hf (0.891, 0.391, 0.218)
Tc (0.500, 0.500, 0.000)
Hf (0.250, 0.250, 0.499)
Hf (0.750, 0.750, 0.501)
Hf (0.109, 0.609, 0.782)